(1)
# meta-GGA SCAN MnH3Ru, PBEsol geometry
# **VASP energy**: -12.7252 eV/atom
data_MnH3Ru
_chemical_formula_sum 'Mn1 H3 Ru1'
_cell_length_a 3.400
_cell_length_b 3.400
_cell_length_c 3.400
_cell_angle_alpha 90.00
_cell_angle_beta 90.00
_cell_angle_gamma 90.00
_space_group_name_H-M_alt 'P m -3 m'
_space_group_IT_number 221
_space_group_name_Hall '-P 4 2 3'
loop_
_atom_site_label
_atom_site_type_symbol
_atom_site_fract_x
_atom_site_fract_y
_atom_site_fract_z
_atom_site_occupancy
Mn1 Mn 0.000 0.000 0.000 1
H1 H 0.000 0.500 0.500 1
Ru1 Ru 0.500 0.500 0.500 1

***

(2)
# meta-GGA SCAN KTaSb2Te, PBEsol geometry
# **VASP energy**: -36.8095 eV/atom
data_KTaSb2Te
_chemical_formula_sum 'K1 Ta1 Sb2 Te1'
_cell_length_a 5.247
_cell_length_b 5.247
_cell_length_c 6.315
_cell_angle_alpha 90.00
_cell_angle_beta 90.00
_cell_angle_gamma 90.00
_space_group_name_H-M_alt 'P 4/m m m'
_space_group_IT_number 123
_space_group_name_Hall '-P 4 2'
loop_
_atom_site_label
_atom_site_type_symbol
_atom_site_fract_x
_atom_site_fract_y
_atom_site_fract_z
_atom_site_occupancy
K1 K 0.000 0.000 0.000 1
Ta1 Ta 0.000 0.000 0.500 1
Sb1 Sb 0.000 0.500 0.500 1
Te1 Te 0.500 0.500 0.000 1

***

(3)
# meta-GGA SCAN CaZrAu4, PBEsol geometry
# **VASP energy**: -53.2675 eV/atom
# **Formation enthalpy at 0 K**: -0.44 eV per atom
data_CaZrAu4
_chemical_formula_sum 'Ca4 Zr4 Au16'
_cell_length_a 7.762
_cell_length_b 7.762
_cell_length_c 7.762
_cell_angle_alpha 90.00
_cell_angle_beta 90.00
_cell_angle_gamma 90.00
_space_group_name_H-M_alt 'F -4 3 m'
_space_group_IT_number 216
_space_group_name_Hall 'F -4 2 3'
loop_
_atom_site_label
_atom_site_type_symbol
_atom_site_fract_x
_atom_site_fract_y
_atom_site_fract_z
_atom_site_occupancy
Ca1 Ca 0.000 0.000 0.000 1
Zr1 Zr 0.250 0.250 0.750 1
Au1 Au 0.125 0.125 0.375 1

***

(4)
# meta-GGA SCAN LaSeBr2Cl, PBEsol geometry
# **VASP energy**: -22.4619 eV/atom
data_LaSeBr2Cl
_chemical_formula_sum 'La1 Se1 Br2 Cl1'
_cell_length_a 5.073
_cell_length_b 5.073
_cell_length_c 5.337
_cell_angle_alpha 90.00
_cell_angle_beta 90.00
_cell_angle_gamma 90.00
_space_group_name_H-M_alt 'P 4/m m m'
_space_group_IT_number 123
_space_group_name_Hall '-P 4 2'
loop_
_atom_site_label
_atom_site_type_symbol
_atom_site_fract_x
_atom_site_fract_y
_atom_site_fract_z
_atom_site_occupancy
La1 La 0.000 0.000 0.000 1
Se1 Se 0.500 0.500 0.000 1
Br1 Br 0.000 0.500 0.500 1
Cl1 Cl 0.500 0.500 0.500 1

***

(5)
# meta-GGA SCAN Cd2GeOsPt, PBEsol geometry
# **VASP energy**: -43.3598 eV/atom
# **Formation enthalpy at 0 K**: 1.04 eV per atom
data_Cd2GeOsPt
_chemical_formula_sum 'Cd2 Ge1 Os1 Pt1'
_cell_length_a 5.033
_cell_length_b 5.033
_cell_length_c 4.534
_cell_angle_alpha 90.00
_cell_angle_beta 90.00
_cell_angle_gamma 90.00
_space_group_name_H-M_alt 'P 4/m m m'
_space_group_IT_number 123
_space_group_name_Hall '-P 4 2'
loop_
_atom_site_label
_atom_site_type_symbol
_atom_site_fract_x
_atom_site_fract_y
_atom_site_fract_z
_atom_site_occupancy
Cd1 Cd 0.000 0.500 0.000 1
Ge1 Ge 0.000 0.000 0.500 1
Os1 Os 0.500 0.500 0.500 1
Pt1 Pt 0.000 0.000 0.000 1

***

(6)
# meta-GGA SCAN FeSnN3, PBEsol geometry
# **VASP energy**: -14.5957 eV/atom
data_FeSnN3
_chemical_formula_sum 'Fe1 Sn1 N3'
_cell_length_a 4.072
_cell_length_b 4.072
_cell_length_c 4.072
_cell_angle_alpha 90.00
_cell_angle_beta 90.00
_cell_angle_gamma 90.00
_space_group_name_H-M_alt 'P m -3 m'
_space_group_IT_number 221
_space_group_name_Hall '-P 4 2 3'
loop_
_atom_site_label
_atom_site_type_symbol
_atom_site_fract_x
_atom_site_fract_y
_atom_site_fract_z
_atom_site_occupancy
Fe1 Fe 0.000 0.000 0.000 1
Sn1 Sn 0.500 0.500 0.500 1
N1 N 0.000 0.500 0.500 1

***

(7)
# meta-GGA SCAN Y4MgRh, PBEsol geometry
# **VASP energy**: -25.4842 eV/atom
# **Formation enthalpy at 0 K**: -0.46 eV per atom
data_Y4MgRh
_chemical_formula_sum 'Y64 Mg16 Rh16'
_cell_length_a 13.577
_cell_length_b 13.577
_cell_length_c 13.577
_cell_angle_alpha 90.00
_cell_angle_beta 90.00
_cell_angle_gamma 90.00
_space_group_name_H-M_alt 'F -4 3 m'
_space_group_IT_number 216
_space_group_name_Hall 'F -4 2 3'
loop_
_atom_site_label
_atom_site_type_symbol
_atom_site_fract_x
_atom_site_fract_y
_atom_site_fract_z
_atom_site_occupancy
Y1 Y 0.000 0.000 0.186 1
Y2 Y 0.063 0.250 0.250 1
Y3 Y 0.097 0.097 0.597 1
Mg1 Mg 0.170 0.170 0.830 1
Rh1 Rh 0.108 0.108 0.392 1

***

(8)
# meta-GGA SCAN YMgS2N, PBEsol geometry
# **VASP energy**: -12.6612 eV/atom
data_YMgS2N
_chemical_formula_sum 'Y1 Mg1 S2 N1'
_cell_length_a 5.198
_cell_length_b 5.198
_cell_length_c 4.307
_cell_angle_alpha 90.00
_cell_angle_beta 90.00
_cell_angle_gamma 90.00
_space_group_name_H-M_alt 'P 4/m m m'
_space_group_IT_number 123
_space_group_name_Hall '-P 4 2'
loop_
_atom_site_label
_atom_site_type_symbol
_atom_site_fract_x
_atom_site_fract_y
_atom_site_fract_z
_atom_site_occupancy
Y1 Y 0.000 0.000 0.000 1
Mg1 Mg 0.500 0.500 0.500 1
S1 S 0.000 0.500 0.000 1
N1 N 0.000 0.000 0.500 1

***

(9)
# meta-GGA SCAN Zn2AgOs, PBEsol geometry
# **VASP energy**: -32.3913 eV/atom
# **Formation enthalpy at 0 K**: 0.18 eV per atom
data_Zn2AgOs
_chemical_formula_sum 'Zn4 Ag2 Os2'
_cell_length_a 2.871
_cell_length_b 4.563
_cell_length_c 8.809
_cell_angle_alpha 90.00
_cell_angle_beta 90.00
_cell_angle_gamma 90.00
_space_group_name_H-M_alt 'C m m m'
_space_group_IT_number 65
_space_group_name_Hall '-C 2 2'
loop_
_atom_site_label
_atom_site_type_symbol
_atom_site_fract_x
_atom_site_fract_y
_atom_site_fract_z
_atom_site_occupancy
Zn1 Zn 0.000 0.000 0.245 1
Ag1 Ag 0.000 0.500 0.500 1
Os1 Os 0.000 0.500 0.000 1

***

(10)
# meta-GGA SCAN ZrRe2Sb, PBEsol geometry
# **VASP energy**: -52.1687 eV/atom
data_ZrRe2Sb
_chemical_formula_sum 'Zr4 Re8 Sb4'
_cell_length_a 6.518
_cell_length_b 6.518
_cell_length_c 6.518
_cell_angle_alpha 90.00
_cell_angle_beta 90.00
_cell_angle_gamma 90.00
_space_group_name_H-M_alt 'F -4 3 m'
_space_group_IT_number 216
_space_group_name_Hall 'F -4 2 3'
loop_
_atom_site_label
_atom_site_type_symbol
_atom_site_fract_x
_atom_site_fract_y
_atom_site_fract_z
_atom_site_occupancy
Zr1 Zr 0.000 0.000 0.000 1
Re1 Re 0.000 0.000 0.500 1
Re2 Re 0.250 0.250 0.250 1
Sb1 Sb 0.250 0.250 0.750 1

***

(11)
# meta-GGA SCAN GaHg2I2, PBEsol geometry
# **VASP energy**: -45.2545 eV/atom
data_GaHg2I2
_chemical_formula_sum 'Ga2 Hg4 I4'
_cell_length_a 6.220
_cell_length_b 6.220
_cell_length_c 8.212
_cell_angle_alpha 90.00
_cell_angle_beta 90.00
_cell_angle_gamma 90.00
_space_group_name_H-M_alt 'I 4/m m m'
_space_group_IT_number 139
_space_group_name_Hall '-I 4 2'
loop_
_atom_site_label
_atom_site_type_symbol
_atom_site_fract_x
_atom_site_fract_y
_atom_site_fract_z
_atom_site_occupancy
Ga1 Ga 0.000 0.000 0.000 1
Hg1 Hg 0.000 0.000 0.336 1
I1 I 0.000 0.500 0.250 1

***

(12)
# meta-GGA SCAN CrTc2Pb, PBEsol geometry
# **VASP energy**: -40.7060 eV/atom
# **Formation enthalpy at 0 K**: 0.37 eV per atom
data_CrTc2Pb
_chemical_formula_sum 'Cr1 Tc2 Pb1'
_cell_length_a 2.949
_cell_length_b 2.949
_cell_length_c 7.600
_cell_angle_alpha 90.00
_cell_angle_beta 90.00
_cell_angle_gamma 90.00
_space_group_name_H-M_alt 'P 4 m m'
_space_group_IT_number 99
_space_group_name_Hall 'P 4 -2'
loop_
_atom_site_label
_atom_site_type_symbol
_atom_site_fract_x
_atom_site_fract_y
_atom_site_fract_z
_atom_site_occupancy
Cr1 Cr 0.000 0.000 0.000 1
Tc1 Tc 0.000 0.000 0.582 1
Tc2 Tc 0.500 0.500 0.782 1
Pb1 Pb 0.500 0.500 0.295 1

***

- Which formula does entry 4 have?
  LaSeBr2Cl

***

- What is the VASP energy in the second record?
  -36.8095 eV/atom

***

- Among the records above, which one has the lowest VASP energy?
  CaZrAu4